[1]
An optimized crystal structure of NdReMoO8. Source: the Alexandria database, functional GGA+U.

raw total energy = -7.94 eV per atom

```
data_NdReMoO8
_cell_length_a 6.330
_cell_length_b 10.169
_cell_length_c 13.417
_cell_angle_alpha 90.00
_cell_angle_beta 112.11
_cell_angle_gamma 90.00
_symmetry_space_group_name_H-M 'P 1 21/c 1'
_symmetry_Int_Tables_number 14
loop_
_symmetry_equiv_pos_as_xyz
'x,y,z'
'-x,-y,-z'
'-x,y+1/2,-z+1/2'
'x,-y+1/2,z+1/2'
loop_
_atom_site_label
_atom_site_type_symbol
_atom_site_fract_x
_atom_site_fract_y
_atom_site_fract_z
Nd1 Nd 0.183 0.238 0.381
Re1 Re 0.371 0.006 0.154
Mo1 Mo 0.152 0.658 0.917
O1 O 0.037 0.179 0.513
O2 O 0.064 0.733 0.303
O3 O 0.141 0.008 0.371
O4 O 0.148 0.600 0.646
O5 O 0.306 0.082 0.029
O6 O 0.374 0.085 0.814
O7 O 0.406 0.124 0.253
O8 O 0.436 0.698 0.005
```

***

[2]
An optimized crystal structure of NdSbMo2O9. Source: the Alexandria database, functional GGA+U.

raw total energy = -7.18 eV per atom

```
data_NdSbMo2O9
_cell_length_a 13.270
_cell_length_b 14.717
_cell_length_c 11.069
_cell_angle_alpha 90.00
_cell_angle_beta 123.41
_cell_angle_gamma 90.00
_symmetry_space_group_name_H-M 'C 1 2/c 1'
_symmetry_Int_Tables_number 15
loop_
_symmetry_equiv_pos_as_xyz
'x,y,z'
'-x,-y,-z'
'-x,y,-z+1/2'
'x,-y,z+1/2'
'x+1/2,y+1/2,z'
'-x+1/2,-y+1/2,-z'
'-x+1/2,y+1/2,-z+1/2'
'x+1/2,-y+1/2,z+1/2'
loop_
_atom_site_label
_atom_site_type_symbol
_atom_site_fract_x
_atom_site_fract_y
_atom_site_fract_z
Nd1 Nd 0.000 0.124 0.250
Nd2 Nd 0.000 0.326 0.750
Sb1 Sb 0.135 0.488 0.539
Mo1 Mo 0.154 0.105 0.025
Mo2 Mo 0.248 0.188 0.695
O1 O 0.018 0.442 0.598
O2 O 0.082 0.015 0.899
O3 O 0.086 0.210 0.936
O4 O 0.121 0.260 0.278
O5 O 0.137 0.087 0.173
O6 O 0.146 0.162 0.509
O7 O 0.176 0.265 0.749
O8 O 0.188 0.407 0.924
O9 O 0.206 0.419 0.199
```

***

[3]
An optimized crystal structure of Nd2ScMoO6. Source: the Alexandria database, functional GGA+U.

raw total energy = -8.29 eV per atom

```
data_Nd2ScMoO6
_cell_length_a 5.622
_cell_length_b 5.892
_cell_length_c 9.853
_cell_angle_alpha 90.00
_cell_angle_beta 124.61
_cell_angle_gamma 90.00
_symmetry_space_group_name_H-M 'P 1 21/c 1'
_symmetry_Int_Tables_number 14
loop_
_symmetry_equiv_pos_as_xyz
'x,y,z'
'-x,-y,-z'
'-x,y+1/2,-z+1/2'
'x,-y+1/2,z+1/2'
loop_
_atom_site_label
_atom_site_type_symbol
_atom_site_fract_x
_atom_site_fract_y
_atom_site_fract_z
Nd1 Nd 0.232 0.059 0.249
Sc1 Sc 0.500 0.000 0.000
Mo1 Mo 0.000 0.000 0.500
O1 O 0.140 0.195 0.942
O2 O 0.245 0.702 0.938
O3 O 0.368 0.047 0.753
```

***

[4]
An optimized crystal structure of NdSc2MoO8. Source: the Alexandria database, functional GGA+U.

raw total energy = -7.96 eV per atom

```
data_NdSc2MoO8
_cell_length_a 6.863
_cell_length_b 6.883
_cell_length_c 6.749
_cell_angle_alpha 90.00
_cell_angle_beta 90.00
_cell_angle_gamma 90.00
_symmetry_space_group_name_H-M 'C m m m'
_symmetry_Int_Tables_number 65
_symmetry_space_group_name_Hall '-C 2 2'
loop_
_atom_site_label
_atom_site_type_symbol
_atom_site_fract_x
_atom_site_fract_y
_atom_site_fract_z
Nd1 Nd 0.000 0.000 0.000
Sc1 Sc 0.000 0.500 0.262
Mo1 Mo 0.000 0.000 0.500
O1 O 0.000 0.194 0.293
O2 O 0.170 0.500 0.000
O3 O 0.211 0.500 0.500
```

***

[5]
An optimized crystal structure of NdSmMo2O8. Source: the Alexandria database, functional GGA+U.

raw total energy = -7.73 eV per atom

```
data_NdSmMo2O8
_cell_length_a 5.359
_cell_length_b 5.359
_cell_length_c 11.502
_cell_angle_alpha 90.00
_cell_angle_beta 90.00
_cell_angle_gamma 90.00
_symmetry_space_group_name_H-M 'I -4'
_symmetry_Int_Tables_number 82
loop_
_symmetry_equiv_pos_as_xyz
'x,y,z'
'y,-x,-z'
'-x,-y,z'
'-y,x,-z'
'x+1/2,y+1/2,z+1/2'
'y+1/2,-x+1/2,-z+1/2'
'-x+1/2,-y+1/2,z+1/2'
'-y+1/2,x+1/2,-z+1/2'
loop_
_atom_site_label
_atom_site_type_symbol
_atom_site_fract_x
_atom_site_fract_y
_atom_site_fract_z
Nd1 Nd 0.000 0.000 0.000
Sm1 Sm 0.000 0.500 0.750
Mo1 Mo 0.000 0.000 0.500
Mo2 Mo 0.000 0.500 0.250
O1 O 0.162 0.256 0.583
O2 O 0.167 0.755 0.169
```

***

[6]
An optimized crystal structure of Nd2SmMoO8. Source: the Alexandria database, functional GGA+U.

raw total energy = -7.63 eV per atom

```
data_Nd2SmMoO8
_cell_length_a 7.342
_cell_length_b 7.412
_cell_length_c 7.015
_cell_angle_alpha 90.00
_cell_angle_beta 90.00
_cell_angle_gamma 90.00
_symmetry_space_group_name_H-M 'C m m m'
_symmetry_Int_Tables_number 65
_symmetry_space_group_name_Hall '-C 2 2'
loop_
_atom_site_label
_atom_site_type_symbol
_atom_site_fract_x
_atom_site_fract_y
_atom_site_fract_z
Nd1 Nd 0.000 0.000 0.247
Sm1 Sm 0.000 0.500 0.500
Mo1 Mo 0.000 0.500 0.000
O1 O 0.000 0.322 0.207
O2 O 0.194 0.000 0.500
O3 O 0.235 0.000 0.000
```

***

[7]
An optimized crystal structure of NdTaMoO6. Source: the Alexandria database, functional GGA+U.

raw total energy = -8.54 eV per atom

```
data_NdTaMoO6
_cell_length_a 4.976
_cell_length_b 4.976
_cell_length_c 9.905
_cell_angle_alpha 90.00
_cell_angle_beta 90.00
_cell_angle_gamma 90.00
_symmetry_space_group_name_H-M 'P 42 n m'
_symmetry_Int_Tables_number 102
loop_
_symmetry_equiv_pos_as_xyz
'x,y,z'
'-y+1/2,x+1/2,z+1/2'
'-x,-y,z'
'y+1/2,-x+1/2,z+1/2'
'-x+1/2,y+1/2,z+1/2'
'y,x,z'
'x+1/2,-y+1/2,z+1/2'
'-y,-x,z'
loop_
_atom_site_label
_atom_site_type_symbol
_atom_site_fract_x
_atom_site_fract_y
_atom_site_fract_z
Nd1 Nd 0.000 0.000 0.000
Ta1 Ta 0.000 0.000 0.337
Mo1 Mo 0.000 0.000 0.672
O1 O 0.174 0.174 0.499
O2 O 0.208 0.208 0.194
O3 O 0.218 0.218 0.817
```

***

[8]
An optimized crystal structure of NdTlMoO5. Source: the Alexandria database, functional GGA+U.

raw total energy = -6.91 eV per atom

```
data_NdTlMoO5
_cell_length_a 8.064
_cell_length_b 10.642
_cell_length_c 8.504
_cell_angle_alpha 90.00
_cell_angle_beta 116.76
_cell_angle_gamma 90.00
_symmetry_space_group_name_H-M 'C 1 2/c 1'
_symmetry_Int_Tables_number 15
loop_
_symmetry_equiv_pos_as_xyz
'x,y,z'
'-x,-y,-z'
'-x,y,-z+1/2'
'x,-y,z+1/2'
'x+1/2,y+1/2,z'
'-x+1/2,-y+1/2,-z'
'-x+1/2,y+1/2,-z+1/2'
'x+1/2,-y+1/2,z+1/2'
loop_
_atom_site_label
_atom_site_type_symbol
_atom_site_fract_x
_atom_site_fract_y
_atom_site_fract_z
Nd1 Nd 0.000 0.000 0.000
Tl1 Tl 0.000 0.298 0.250
Mo1 Mo 0.000 0.312 0.750
O1 O 0.000 0.078 0.250
O2 O 0.080 0.213 0.625
O3 O 0.187 0.410 0.896
```

***

Q: Among the records above, which one has the lowest raw total energy?
A: NdTaMoO6

***

Q: What is the raw total energy in the eighth record?
A: -6.91 eV per atom